An optimized crystal structure of NaPb3Au2, computed with GGA-PBE.

```
NaPb3Au2
1.0
2.0310 -4.9100 5.1666
-3.4590 -3.5394 3.3792
2.3810 -5.3766 -0.7976
Au Na Pb
2 1 3
direct
0.7464 0.7464 0.7536
0.2464 0.2464 0.2536
0.1599 0.1599 0.8401
0.8467 0.8467 0.1533
0.3410 0.6596 0.3404
0.6596 0.3410 0.6590
```

## Properties
Total DFT energy (no corrections) ... -3.3285 eV/atom
Space-group type ... Fmm2
Crystal system ... orthorhombic

=====

An optimized crystal structure of NaCuTe2WS, computed with GGA-PBE.

```
NaCuTe2WS
1.0
-7.3422 -1.9203 0.8253
7.3008 -1.7225 -1.4172
1.4646 -1.5484 9.4266
Te Na S W Cu
4 2 2 2 2
direct
0.6391 0.3609 0.4570
0.6391 0.3609 0.0430
0.3609 0.6391 0.5430
0.3609 0.6391 0.9570
0.7356 0.2644 0.7500
0.2644 0.7356 0.2500
0.9387 0.0613 0.2500
0.0613 0.9387 0.7500
0.0000 0.0000 0.5000
0.0000 0.0000 0.0000
0.5276 0.4724 0.2500
0.4724 0.5276 0.7500
```

## Properties
Total moment ... 1.518 μB per formula unit
Total DFT energy (no corrections) ... -4.8895 eV/atom
Space-group type ... Cmcm
Crystal system ... orthorhombic

=====

An optimized crystal structure of Tb2GdNi2B2C3, computed with GGA-PBE.

```
Tb2GdNi2B2C3
1.0
9.9572 2.5798 2.3761
7.2120 4.6443 6.1534
-8.3484 -5.7663 -2.9157
Ni B Tb C Gd
2 2 2 3 1
direct
0.7500 0.2500 0.5000
0.2500 0.7500 0.5000
0.1968 0.1968 0.0000
0.8032 0.8032 0.0000
0.3765 0.3765 0.0000
0.6235 0.6235 0.0000
0.5000 0.5000 0.0000
0.8758 0.8758 0.0000
0.1242 0.1242 0.0000
0.0000 0.0000 0.0000
```

## Properties
Total moment ... 0.002 μB per formula unit
Total DFT energy (no corrections) ... -7.0025 eV/atom
Space-group type ... I4/mmm
Crystal system ... tetragonal

=====

An optimized crystal structure of CuTcGeTe, computed with GGA-PBE.

```
CuTcGeTe
1.0
-1.7835 -1.2764 4.0015
-2.6156 2.8995 2.3609
-4.4862 -0.7514 0.3625
Ge Cu Te Tc
1 1 1 1
direct
0.0000 0.0000 0.0000
0.7500 0.7500 0.7500
0.5000 0.5000 0.5000
0.2500 0.2500 0.2500
```

## Properties
Total moment ... 0.173 μB per formula unit
Polymorph energy (0 for the lowest one) ... 0 meV/atom
Total DFT energy (no corrections) ... -5.0751 eV/atom
Space-group type ... F-43m
Crystal system ... cubic

=====

An optimized crystal structure of Ho3Mg3Hg2Pd, computed with GGA-PBE.

```
Ho3Mg3Hg2Pd
1.0
7.7069 0.0000 0.0000
-3.8535 6.6744 0.0000
0.0000 0.0000 4.1226
Ho Pd Mg Hg
3 1 3 2
direct
0.5974 0.0000 0.0000
0.0000 0.5974 0.0000
0.4026 0.4026 0.0000
0.0000 0.0000 0.0000
0.7617 0.7617 0.5000
0.0000 0.2384 0.5000
0.2384 0.0000 0.5000
0.3333 0.6667 0.5000
0.6667 0.3333 0.5000
```

## Properties
Total moment ... 0.080 μB per formula unit
Total DFT energy (no corrections) ... -3.1680 eV/atom
Space-group type ... P-62m
Crystal system ... hexagonal

=====

An optimized crystal structure of Lu3SnN2, computed with GGA-PBE.

```
Lu3SnN2
1.0
3.4049 0.0000 0.0000
-1.7024 2.9487 0.0000
0.0000 0.0000 20.4087
Lu Sn N
6 2 4
direct
0.6667 0.3333 0.3722
0.6667 0.3333 0.1278
0.0000 0.0000 0.0000
0.0000 0.0000 0.5000
0.3333 0.6667 0.8722
0.3333 0.6667 0.6278
0.0000 0.0000 0.7500
0.0000 0.0000 0.2500
0.3333 0.6667 0.0690
0.6667 0.3333 0.5690
0.6667 0.3333 0.9310
0.3333 0.6667 0.4310
```

## Properties
Total moment ... 0.002 μB per formula unit
Total DFT energy (no corrections) ... -7.1558 eV/atom
Space-group type ... P6_3/mmc
Crystal system ... hexagonal

=====

An optimized crystal structure of SmAlTl, computed with GGA-PBE.

```
SmAlTl
1.0
-3.9319 -2.5768 1.2300
-4.3889 1.3609 -1.5803
-2.3083 -2.6583 -3.3492
Al Tl Sm
1 1 1
direct
0.0000 0.0000 0.0000
0.7500 0.7500 0.7500
0.2500 0.2500 0.2500
```

## Properties
Total moment ... 0.002 μB per formula unit
Total DFT energy (no corrections) ... -3.7004 eV/atom
Space-group type ... F-43m
Crystal system ... cubic

=====

An optimized crystal structure of TmSbN2O, computed with GGA-PBE.

```
TmSbN2O
1.0
2.9628 3.4405 3.2667
-3.0404 4.3073 -1.8680
-2.5782 -4.4206 2.2681
O N Tm Sb
2 4 2 2
direct
0.1700 0.8300 0.0000
0.8300 0.1700 0.0000
0.8154 0.1846 0.5000
0.1846 0.8154 0.5000
0.6304 0.6304 0.3540
0.3696 0.3696 0.6460
0.7763 0.7763 0.0491
0.2237 0.2237 0.9509
0.5000 0.0000 0.5000
0.0000 0.5000 0.5000
```

## Properties
Total moment ... 0.000 μB per formula unit
Total DFT energy (no corrections) ... -6.9654 eV/atom
Space-group type ... C2/m
Crystal system ... monoclinic